# Cs2BAs

An optimized crystal structure of Cs2BAs (PBE, the Alexandria database).

Cell: 6.0146 6.0146 6.0146 Å, 60.00 60.00 60.00°
With the nearest neighbours (Å) after each atom.
Fractional positions:
Cs 0.2500 0.2500 0.2500  4 As 3.68, 4 B 3.68
Cs 0.7500 0.7500 0.7500  4 B 3.68, 4 As 3.68
As 0.5000 0.5000 0.5000  8 Cs 3.68
B 0.0000 0.0000 0.0000  8 Cs 3.68

Summary:
Its formation energy is 1.05 eV per atom. As for the energy above the most stable polymorph in this dataset: 0.000 eV/atom.

***

# CaClF3

An optimized crystal structure of CaClF3 (PBE, the Alexandria database).

Cell: 3.6500 7.2563 16.5157 Å, 130.34 146.24 59.95°
With the nearest neighbours (Å) after each atom.
Fractional positions:
Ca 0.5808 0.3811 0.4953  6 F 2.30-2.32
Ca 0.7873 0.9187 0.5591  6 F 2.30-2.32
Cl 0.8835 0.4756 0.0204  1 F 1.75
Cl 0.4847 0.8242 0.0341  1 F 1.75
F 0.5122 0.1172 0.1625  1 Cl 1.75
F 0.8560 0.1826 0.8920  1 Cl 1.75
F 0.6427 0.3262 0.6300  3 Ca 2.32
F 0.6019 0.5023 0.4003  3 Ca 2.30-2.31
F 0.7255 0.9737 0.4245  3 Ca 2.32
F 0.7663 0.7975 0.6542  3 Ca 2.30-2.31

Summary:
As for the energy above the most stable polymorph in this dataset: 0.000 eV/atom. Its formation energy without anion corrections is -2.430 eV/atom.

***

# KRbPd

An optimized crystal structure of KRbPd (PBE, the Alexandria database).

Cell: 5.6594 5.6594 5.6594 Å, 60.00 60.00 60.00°
With the nearest neighbours (Å) after each atom.
Fractional positions:
K 0.5000 0.5000 0.5000  4 Pd 3.47
Rb 0.0000 0.0000 0.0000  4 Pd 3.47
Pd 0.2500 0.2500 0.2500  4 K 3.47, 4 Rb 3.47

Summary:
Its formation energy is 0.09 eV per atom. As for the energy above the most stable polymorph in this dataset: 0.054 eV/atom.

***

# Sb2PbAu

An optimized crystal structure of Sb2PbAu (PBE, the Alexandria database).

Cell: 3.8969 3.8969 6.9274 Å, 90.00 90.00 90.00°
With the nearest neighbours (Å) after each atom.
Fractional positions:
Au 0.5000 0.5000 0.2500  8 Sb 3.11, 2 Pb 3.46
Pb 0.5000 0.5000 0.7500  8 Sb 3.42, 2 Au 3.46
Sb 0.0000 0.0000 0.0420  1 Sb 2.88, 4 Au 3.11
Sb 0.0000 0.0000 0.4580  1 Sb 2.88, 4 Au 3.11

Summary:
Its formation energy without anion corrections is 0.098 eV/atom.

***

What did the third record say?
# KRbPd

An optimized crystal structure of KRbPd (PBE, the Alexandria database).

Cell: 5.6594 5.6594 5.6594 Å, 60.00 60.00 60.00°
With the nearest neighbours (Å) after each atom.
Fractional positions:
K 0.5000 0.5000 0.5000  4 Pd 3.47
Rb 0.0000 0.0000 0.0000  4 Pd 3.47
Pd 0.2500 0.2500 0.2500  4 K 3.47, 4 Rb 3.47

Summary:
Its formation energy is 0.09 eV per atom. As for the energy above the most stable polymorph in this dataset: 0.054 eV/atom.